(1)
Here is crystalline ScMn2Ir at its relaxed geometry from Alexandria. Energies are from PBE.

```
4
Lattice="1.416 0.817 8.760 -1.416 0.817 8.760 0.000 -1.635 8.760" Properties=species:S:1:pos:R:3 pbc="T T T"
Sc 0.000 0.000 0.000
Mn 0.000 0.000 6.434
Mn 0.000 0.000 19.844
Ir 0.000 0.000 13.139
```

Properties
Space group: No. 166
E above lowest polymorph in meV/atom: 484.0
Total magnetic moment in μB per cell: 4.66
ΔE_f in meV/atom: 223
Final energy in hartree per atom: -0.2999

***

(2)
Here is crystalline Pm6Er12Mg at its relaxed geometry from Alexandria. Energies are from PBE.

```
19
Lattice="6.488 3.746 4.282 -6.488 3.746 4.282 0.000 -7.492 4.282" Properties=species:S:1:pos:R:3 pbc="T T T"
Pm -1.777 -1.026 3.514
Pm 1.777 -1.026 3.514
Pm 0.000 2.052 3.514
Pm 0.000 -2.052 9.333
Pm -1.777 1.026 9.333
Pm 1.777 1.026 9.333
Er 0.000 -4.281 3.654
Er -3.707 2.140 3.654
Er -1.697 -2.939 6.423
Er -3.394 0.000 6.423
Er -3.707 -2.140 9.193
Er 1.697 -2.939 6.423
Er -1.697 2.939 6.423
Er 3.707 2.140 3.654
Er 3.394 0.000 6.423
Er 1.697 2.939 6.423
Er 3.707 -2.140 9.193
Er 0.000 4.281 9.193
Mg 0.000 0.000 6.423
```

Properties
Space group: No. 166
E above lowest polymorph in meV/atom: 3.5
Total magnetic moment in μB per cell: 0.00
ΔE_f in meV/atom: 134
Final energy in hartree per atom: -0.1592

***

(3)
Here is crystalline TaTlBC2 at its relaxed geometry from Alexandria. Energies are from PBE.

```
5
Lattice="4.104 0.000 0.000 0.000 4.104 0.000 0.000 0.000 5.799" Properties=species:S:1:pos:R:3 pbc="T T T"
Ta 0.000 0.000 0.000
Tl 0.000 0.000 2.900
B 2.052 2.052 2.900
C 0.000 2.052 0.000
C 2.052 0.000 0.000
```

Properties
Space group: No. 123
Total magnetic moment in μB per cell: 0.00
ΔE_f in meV/atom: 2155
Final energy in hartree per atom: -0.2100

***

(4)
Here is crystalline ErTc2Ge2C at its relaxed geometry from Alexandria. Energies are from PBE.

```
6
Lattice="4.180 0.000 0.000 0.000 4.180 0.000 0.000 0.000 5.385" Properties=species:S:1:pos:R:3 pbc="T T T"
Er 0.000 0.000 0.000
Tc 0.000 2.090 2.693
Tc 2.090 0.000 2.693
Ge 2.090 2.090 1.191
Ge 2.090 2.090 4.194
C 0.000 0.000 2.693
```

Properties
Space group: No. 123
Total magnetic moment in μB per cell: 0.00
ΔE_f in meV/atom: -319
Final energy in hartree per atom: -0.2797

***

(5)
Here is crystalline Ho7Ni2Pd2 at its relaxed geometry from Alexandria. Energies are from PBE.

```
11
Lattice="-1.846 7.651 4.700 1.846 -7.651 4.700 1.846 7.651 -4.700" Properties=species:S:1:pos:R:3 pbc="T T T"
Ho 0.000 0.000 0.000
Ho 1.846 5.846 -1.079
Ho 1.846 2.979 0.846
Ho 0.000 1.804 3.621
Ho 0.000 5.706 2.228
Ho 0.000 9.595 2.228
Ho 0.000 4.672 5.547
Ni 1.846 -3.979 3.621
Ni 1.846 3.979 3.621
Pd 1.846 0.000 2.142
Pd 0.000 0.000 5.921
```

Properties
Space group: No. 44
E above lowest polymorph in meV/atom: 0.0
Total magnetic moment in μB per cell: 0.00
ΔE_f in meV/atom: -483
Final energy in hartree per atom: -0.1981

***

(6)
Here is crystalline GdBeGa at its relaxed geometry from Alexandria. Energies are from PBE.

```
3
Lattice="4.207 0.000 0.000 -2.104 3.643 0.000 0.000 0.000 3.694" Properties=species:S:1:pos:R:3 pbc="T T T"
Gd 0.000 0.000 0.000
Be 0.000 2.429 1.847
Ga 2.104 1.214 1.847
```

Properties
Space group: No. 187
E above lowest polymorph in meV/atom: 0.0
Total magnetic moment in μB per cell: 7.40
ΔE_f in meV/atom: -381
Final energy in hartree per atom: -0.2692

***

(7)
Here is crystalline FeIr2Au at its relaxed geometry from Alexandria. Energies are from PBE.

```
4
Lattice="2.762 0.000 0.000 0.000 3.714 0.000 0.000 0.000 5.791" Properties=species:S:1:pos:R:3 pbc="T T T"
Fe 0.000 0.000 0.000
Ir 1.381 1.857 1.301
Ir 1.381 1.857 4.490
Au 0.000 0.000 2.896
```

Properties
Space group: No. 47
E above lowest polymorph in meV/atom: 107.8
Total magnetic moment in μB per cell: 2.79
ΔE_f in meV/atom: 234
Final energy in hartree per atom: -0.2621

***

(8)
Here is crystalline DyPuHg2 at its relaxed geometry from Alexandria. Energies are from PBE.

```
4
Lattice="3.682 0.000 0.000 0.000 3.682 0.000 0.000 0.000 7.717" Properties=species:S:1:pos:R:3 pbc="T T T"
Dy 0.000 0.000 0.000
Pu 0.000 0.000 3.859
Hg 1.841 1.841 1.826
Hg 1.841 1.841 5.892
```

Properties
Space group: No. 123
E above lowest polymorph in meV/atom: 0.0
Total magnetic moment in μB per cell: 5.85
ΔE_f in meV/atom: -285
Final energy in hartree per atom: -0.1900

***

(9)
Here is crystalline CaHoMg6 at its relaxed geometry from Alexandria. Energies are from PBE.

```
8
Lattice="5.203 0.000 0.000 0.000 3.553 5.617 0.000 -3.553 5.617" Properties=species:S:1:pos:R:3 pbc="T T T"
Ca 0.000 0.000 0.000
Ho 2.601 0.000 8.003
Mg 0.000 -1.609 2.962
Mg 0.000 1.609 2.962
Mg 0.000 0.000 5.925
Mg 2.601 0.000 2.178
Mg 2.601 -1.571 5.044
Mg 2.601 1.571 5.044
```

Properties
Space group: No. 38
Total magnetic moment in μB per cell: 0.00
ΔE_f in meV/atom: -53
Final energy in hartree per atom: -0.0761

***

(10)
Here is crystalline SmEr4Mg5 at its relaxed geometry from Alexandria. Energies are from PBE.

```
10
Lattice="3.777 0.000 0.000 0.000 3.777 0.000 0.000 0.000 18.955" Properties=species:S:1:pos:R:3 pbc="T T T"
Sm 0.000 0.000 0.000
Er 0.000 0.000 3.857
Er 0.000 0.000 7.604
Er 0.000 0.000 11.351
Er 0.000 0.000 15.099
Mg 1.888 1.888 1.987
Mg 1.888 1.888 5.727
Mg 1.888 1.888 9.478
Mg 1.888 1.888 13.228
Mg 1.888 1.888 16.968
```

Properties
Space group: No. 123
Total magnetic moment in μB per cell: 0.00
ΔE_f in meV/atom: -72
Final energy in hartree per atom: -0.1164

***

(11)
Here is crystalline Sm2PaAl2Ru5 at its relaxed geometry from Alexandria. Energies are from PBE.

```
20
Lattice="10.252 0.000 0.000 0.000 10.252 0.000 0.000 0.000 3.433" Properties=species:S:1:pos:R:3 pbc="T T T"
Sm 1.750 3.376 0.000
Sm 3.376 8.502 0.000
Sm 6.876 1.750 0.000
Sm 8.502 6.876 0.000
Pa 0.000 0.000 0.000
Pa 5.126 5.126 0.000
Al 1.287 6.413 0.000
Al 3.839 1.287 0.000
Al 6.413 8.965 0.000
Al 8.965 3.839 0.000
Ru 0.000 5.126 1.717
Ru 0.704 8.176 1.717
Ru 2.076 0.704 1.717
Ru 3.050 5.830 1.717
Ru 4.422 3.050 1.717
Ru 5.126 0.000 1.717
Ru 5.830 7.202 1.717
Ru 7.202 4.422 1.717
Ru 8.176 9.548 1.717
Ru 9.548 2.076 1.717
```

Properties
Space group: No. 127
Total magnetic moment in μB per cell: 0.00
ΔE_f in meV/atom: -515
Final energy in hartree per atom: -0.2864

***

(12)
Here is crystalline Ti6PPd3 at its relaxed geometry from Alexandria. Energies are from PBE.

```
20
Lattice="4.979 0.000 0.000 0.000 7.376 0.000 -4.673 0.000 9.073" Properties=species:S:1:pos:R:3 pbc="T T T"
Ti -1.900 1.173 4.049
Ti -4.237 2.515 8.585
Ti -0.226 5.055 3.997
Ti -2.563 6.008 8.533
Ti 0.825 0.365 2.344
Ti -1.511 3.322 6.880
Ti 1.818 4.053 2.193
Ti -0.519 7.010 6.729
Ti 2.869 1.367 0.539
Ti 0.532 2.320 5.076
Ti 4.543 4.861 0.488
Ti 2.207 6.203 5.024
P 0.153 0.000 4.536
P 2.490 3.688 0.000
Pd 0.000 0.000 0.000
Pd -2.337 3.688 4.536
Pd -2.902 0.833 6.976
Pd -0.566 2.855 2.440
Pd 0.872 4.521 6.633
Pd 3.209 6.542 2.096
```

Properties
Space group: No. 14
Total magnetic moment in μB per cell: 0.00
ΔE_f in meV/atom: -371
Final energy in hartree per atom: -0.2649